# 1
Density functional theory data (PBE) for a relaxed structure of CaSm2ScAs4.

Unit cell a=4.144 b=7.096 c=7.225 alpha=70.46 beta=90.00 gamma=90.00
Positions (direct):
Ca 0.500 0.500 0.000
Sm 0.000 0.000 0.000
Sm 0.500 0.000 0.500
Sc 0.000 0.500 0.500
As 0.000 0.744 0.741
As 0.000 0.256 0.259
As 0.500 0.736 0.264
As 0.500 0.264 0.736

Total energy, eV per atom: -5.84
E_form, meV per atom: -1295.1

=====

# 2
Density functional theory data (PBE) for a relaxed structure of Sr2CaScAs.

Unit cell a=6.066 b=5.773 c=6.066 alpha=90.00 beta=90.00 gamma=90.00
Last column: magnetic moment on the atom in μB.
Positions (direct):
Sc 0.000 0.000 0.000  1.33
Sr 0.000 0.000 0.500  0.20
Sr 0.500 0.000 0.000  0.17
As 0.500 0.500 0.500  -0.06
Ca 0.000 0.500 0.000  0.23

Total energy, eV per atom: -2.52
E_form, meV per atom: 747.9

=====

Which of these has the lowest E_form? CaSm2ScAs4

=====

What is the E_form in the second record? 747.9 meV per atom

=====

Which formula does entry 2 have? Sr2CaScAs

=====

Copy entry 1 word for word.
Density functional theory data (PBE) for a relaxed structure of CaSm2ScAs4.

Unit cell a=4.144 b=7.096 c=7.225 alpha=70.46 beta=90.00 gamma=90.00
Positions (direct):
Ca 0.500 0.500 0.000
Sm 0.000 0.000 0.000
Sm 0.500 0.000 0.500
Sc 0.000 0.500 0.500
As 0.000 0.744 0.741
As 0.000 0.256 0.259
As 0.500 0.736 0.264
As 0.500 0.264 0.736

Total energy, eV per atom: -5.84
E_form, meV per atom: -1295.1